# Sr2CaTa GGA-PBEsol optimized geometry
# offset from the most stable computed form = 0.077 eV/atom
# DOS at the Fermi energy = 0.9693 states/eV/atom
# energy relative to the elements = 0.847 eV/atom
data_Sr2CaTa
_chemical_formula_sum 'Sr2 Ca1 Ta1'
_cell_length_a 3.468
_cell_length_b 5.587
_cell_length_c 7.122
_cell_angle_alpha 90.00
_cell_angle_beta 103.94
_cell_angle_gamma 90.00
_symmetry_space_group_name_H-M 'P 1'
_symmetry_Int_Tables_number 1
_symmetry_space_group_name_Hall 'P 1'
loop_
_atom_site_label
_atom_site_type_symbol
_atom_site_fract_x
_atom_site_fract_y
_atom_site_fract_z
Sr1 Sr 0.046 0.000 0.969
Sr2 Sr 0.710 0.500 0.292
Ta1 Ta 0.320 0.000 0.508
Ca1 Ca 0.424 0.500 0.732

***

# SrCaTaTi2 GGA-PBEsol optimized geometry
# DOS at the Fermi energy = 1.2276 states/eV/atom
# energy relative to the elements = 1.989 eV/atom
data_SrCaTaTi2
_chemical_formula_sum 'Sr1 Ca1 Ta1 Ti2'
_cell_length_a 4.760
_cell_length_b 4.760
_cell_length_c 4.936
_cell_angle_alpha 90.00
_cell_angle_beta 90.00
_cell_angle_gamma 90.00
_symmetry_space_group_name_H-M 'P 1'
_symmetry_Int_Tables_number 1
_symmetry_space_group_name_Hall 'P 1'
loop_
_atom_site_label
_atom_site_type_symbol
_atom_site_fract_x
_atom_site_fract_y
_atom_site_fract_z
Ta1 Ta 0.500 0.500 0.500
Sr1 Sr 0.000 0.000 0.000
Ti1 Ti 0.500 0.000 0.000
Ti2 Ti 0.000 0.500 0.000
Ca1 Ca 0.000 0.000 0.500